VASP calculation (PBE) on a relaxed CsAc3Se4O12 crystal.

Output
symmetry	R32 (155)
formation energy without anion corrections	-3082	kJ/mol of formula units
DOS(E_F)	0.41	states/eV/atom

Lattice parameters (Å, degrees): 8.105 8.105 8.105 106.18 106.18 106.18
Site moments in Bohr magnetons follow the coordinates.
Element x y z (fractional)
O 0.354 0.646 0.500  0.07
O 0.073 0.619 0.794  -0.02
O 0.619 0.794 0.073  -0.02
O 0.206 0.381 0.927  -0.02
O 0.927 0.206 0.381  -0.02
O 0.121 0.879 0.500  -0.01
O 0.500 0.121 0.879  -0.01
O 0.794 0.073 0.619  -0.02
O 0.500 0.354 0.646  0.07
O 0.879 0.500 0.121  -0.01
O 0.381 0.927 0.206  -0.02
O 0.646 0.500 0.354  0.07
Se 0.939 0.061 0.500  -0.07
Se 0.500 0.500 0.500  0.22
Se 0.061 0.500 0.939  -0.07
Se 0.500 0.939 0.061  -0.07
Ac 0.000 0.560 0.440  0.00
Ac 0.440 0.000 0.560  0.00
Ac 0.560 0.440 0.000  0.00
Cs 0.000 0.000 0.000  0.00

VASP calculation (PBE) on a relaxed BaLaPb2 crystal.

Output
symmetry	F-43m (216)
DOS(E_F)	1.53	states/eV/atom
energy of formation from the pure elements	-119	meV per atom

Lattice parameters (Å, degrees): 5.825 5.825 5.825 60.00 60.00 60.00
Element x y z (fractional)
Ba 0.500 0.500 0.500
Pb 0.000 0.000 0.000
Pb 0.250 0.250 0.250
La 0.750 0.750 0.750

VASP calculation (PBE) on a relaxed Sm2GeO crystal.

Output
symmetry	P2/c (13)
formation energy without anion corrections	-659	kJ/mol of formula units
DOS(E_F)	0.15	states/eV/atom

Lattice parameters (Å, degrees): 5.816 5.901 10.831 93.25 90.00 90.00
Element x y z (fractional)
Ge 0.266 0.986 0.374
Ge 0.734 0.486 0.874
Ge 0.266 0.514 0.126
Ge 0.734 0.014 0.626
Sm 0.235 0.545 0.859
Sm 0.217 0.011 0.107
Sm 0.783 0.511 0.607
Sm 0.217 0.489 0.393
Sm 0.783 0.989 0.893
Sm 0.765 0.045 0.359
Sm 0.765 0.455 0.141
Sm 0.235 0.955 0.641
O 0.824 0.072 0.123
O 0.176 0.928 0.877
O 0.824 0.428 0.377
O 0.176 0.572 0.623

VASP calculation (PBE) on a relaxed IrRhAuI crystal.

Output
symmetry	Amm2 (38)
formation energy without anion corrections	208	kJ/mol of formula units
DOS(E_F)	0.75	states/eV/atom

Lattice parameters (Å, degrees): 3.148 4.318 12.078 90.00 90.00 90.00
Element x y z (fractional)
Au 0.000 0.000 0.623
Au 0.000 0.500 0.123
Ir 0.500 0.500 0.666
Ir 0.500 0.000 0.166
I 0.000 0.000 0.351
I 0.000 0.500 0.851
Rh 0.000 0.000 0.983
Rh 0.000 0.500 0.483

VASP calculation (PBE) on a relaxed Ca2MgSb crystal.

Output
symmetry	P4/mmm (123)
formation energy without anion corrections	-216	kJ/mol of formula units
DOS(E_F)	0.30	states/eV/atom

Lattice parameters (Å, degrees): 5.089 5.089 4.424 90.00 90.00 90.00
Element x y z (fractional)
Ca 0.500 0.500 0.000
Ca 0.000 0.000 0.000
Mg 0.500 0.000 0.500
Sb 0.000 0.500 0.500

VASP calculation (PBE) on a relaxed ScCdRuO6 crystal.

Output
symmetry	P-31c (163)
formation energy without anion corrections	-1275	kJ/mol of formula units
DOS(E_F)	0.46	states/eV/atom

Lattice parameters (Å, degrees): 5.303 5.303 9.450 90.00 90.00 120.00
Site moments in Bohr magnetons follow the coordinates.
Element x y z (fractional)
O 0.351 0.974 0.637  0.03
O 0.649 0.026 0.363  0.03
O 0.026 0.377 0.637  0.03
O 0.649 0.623 0.137  0.03
O 0.377 0.351 0.363  0.03
O 0.623 0.974 0.863  0.03
O 0.026 0.649 0.863  0.03
O 0.974 0.351 0.137  0.03
O 0.377 0.026 0.137  0.03
O 0.974 0.623 0.363  0.03
O 0.351 0.377 0.863  0.03
O 0.623 0.649 0.637  0.03
Cd 0.000 0.000 0.000  0.01
Cd 0.000 0.000 0.500  0.01
Sc 0.667 0.333 0.750  0.02
Sc 0.333 0.667 0.250  0.02
Ru 0.667 0.333 0.250  0.51
Ru 0.333 0.667 0.750  0.51